[1]
CoReSe: relaxed, PBE.

The structure in POSCAR format:
```
CoReSe
1.0
11.285 0.000 0.000
0.000 1.501 2.599
0.000 -1.501 2.599
Co Re Se
2 2 2
Cartesian
0.000 0.000 0.000 Co
5.643 0.000 1.691 Co
1.932 0.000 1.733 Re
9.353 0.000 1.733 Re
3.771 0.000 5.192 Se
7.515 0.000 5.192 Se
```

Values from the calculation:
size of the total moment	0.2	Bohr magnetons per cell
formation energy (no corrections)	0.45	eV/atom


[2]
CoRe2Se: relaxed, PBE.

The structure in POSCAR format:
```
CoRe2Se
1.0
2.846 0.000 0.000
0.000 3.982 0.000
-1.163 0.000 5.114
Co Re Se
1 2 1
Cartesian
0.000 0.000 0.000 Co
0.151 1.991 3.868 Re
1.531 1.991 1.246 Re
-0.582 0.000 2.557 Se
```

Values from the calculation:
size of the total moment	0.8	Bohr magnetons per cell
formation energy (no corrections)	0.58	eV/atom